The following is a DFT calculation (GGA-PBEsol) of a relaxed ZrAl2Tc crystal.

Output
Calculated formation energy (eV per atom): -0.29
Crystal system: monoclinic
Polymorph energy (0 for the lowest one) (meV/atom): 65
Magnetization (μB per formula unit): 0.0

```
data_ZrAl2Tc
_chemical_formula_sum 'Zr1 Al2 Tc1'
_cell_length_a 2.948
_cell_length_b 4.366
_cell_length_c 5.080
_cell_angle_alpha 90.00
_cell_angle_beta 97.52
_cell_angle_gamma 90.00
_symmetry_space_group_name_H-M 'P 1 m 1'
_symmetry_Int_Tables_number 6
loop_
_symmetry_equiv_pos_as_xyz
'x,y,z'
'x,-y,z'
loop_
_atom_site_label
_atom_site_fract_x
_atom_site_fract_y
_atom_site_fract_z
Zr1 0.000 0.000 0.000
Al1 0.549 0.000 0.509
Al2 0.567 0.500 0.225
Tc1 0.184 0.500 0.700
```